KNa2BeAs2 | PBE | relaxed

Results
DFT formation energy = -0.2597 eV per atom
density of states at the Fermi level = 8.8 states/eV per cell
magnetization = 0.00 μB per formula unit

a = 7.788 Å, b = 7.788 Å, c = 7.788 Å
α = 114.27°, β = 84.10°, γ = 133.77°
Fractional positions:
K 0.250 0.250 0.000
K 0.750 0.750 0.000
Na 0.185 0.656 0.840
Na 0.315 0.156 0.471
Na 0.685 0.844 0.529
Na 0.815 0.344 0.160
Be 0.250 0.750 0.500
Be 0.750 0.250 0.500
As 0.094 0.329 0.423
As 0.406 0.829 0.235
As 0.594 0.171 0.765
As 0.906 0.671 0.577



Cs2HgI2 | PBE | relaxed

Results
density of states at the Fermi level = 0.0 states/eV per cell
raw formation energy = -1.11 eV per atom
magnetization = 0.00 μB per formula unit

a = 8.578 Å, b = 8.578 Å, c = 8.578 Å
α = 128.71°, β = 128.71°, γ = 75.47°
Fractional positions:
Cs 0.250 0.750 0.500
Cs 0.750 0.250 0.500
Hg 0.000 0.000 0.000
I 0.305 0.305 0.000
I 0.695 0.695 0.000



Nb4OsN | PBE | relaxed

Results
density of states at the Fermi level = 10.9 states/eV per cell
raw formation energy = 0.18 eV per atom
magnetization = 0.00 μB per formula unit

a = 6.727 Å, b = 6.727 Å, c = 6.727 Å
α = 106.23°, β = 106.23°, γ = 116.16°
Fractional positions:
Nb 0.195 0.254 0.559
Nb 0.195 0.636 0.941
Nb 0.254 0.195 0.059
Nb 0.364 0.805 0.559
Nb 0.636 0.195 0.441
Nb 0.746 0.805 0.941
Nb 0.805 0.364 0.059
Nb 0.805 0.746 0.441
Os 0.125 0.875 0.250
Os 0.875 0.125 0.750
N 0.375 0.625 0.750
N 0.625 0.375 0.250



Pr9Ho2Th | PBE | relaxed

Results
DFT formation energy = 0.0341 eV per atom
density of states at the Fermi level = 20.6 states/eV per cell
magnetization = 0.00 μB per formula unit

a = 5.192 Å, b = 5.192 Å, c = 15.576 Å
α = 90.00°, β = 90.00°, γ = 90.00°
Fractional positions:
Pr 0.000 0.000 0.000
Pr 0.000 0.000 0.336
Pr 0.000 0.000 0.664
Pr 0.000 0.500 0.165
Pr 0.000 0.500 0.500
Pr 0.000 0.500 0.835
Pr 0.500 0.000 0.165
Pr 0.500 0.000 0.500
Pr 0.500 0.000 0.835
Ho 0.500 0.500 0.334
Ho 0.500 0.500 0.666
Th 0.500 0.500 0.000